[1]
CrHgPb | GGA-PBEsol | relaxed

Cell lengths 3.3766, 3.3766, 6.8205 Å; angles 90.00, 90.00, 120.00 degrees
With the nearest neighbours (Å) after each atom.
Space group P3m1 (No. 156)
One atom of each set of equivalent atoms:
Cr  0.0000  0.0000  0.0000 x1  3 Hg 2.80, 3 Pb 2.97
Hg  0.3333  0.6667  0.7048 x1  3 Cr 2.80
Pb  0.6667  0.3333  0.3283 x1  3 Cr 2.97, 3 Hg 3.22

Formation energy   502 meV per atom
Relative energy among the computed polymorphs   0.000 eV/atom



[2]
CaLa3 | GGA-PBEsol | relaxed

Cell lengths 3.6577, 5.9582, 6.5381 Å; angles 90.00, 90.00, 90.00 degrees
With the nearest neighbours (Å) after each atom.
Space group Pmm2 (No. 25)
One atom of each set of equivalent atoms:
Ca  0.0000  0.0000  0.0000 x1  2 Ca 3.66, 10 La 3.68-3.78
La  0.0000  0.5000  0.3296 x1  10 La 3.59-3.91, 2 Ca 3.68
La  0.5000  0.0000  0.4949 x1  8 La 3.59-3.66, 4 Ca 3.72-3.78
La  0.5000  0.5000  0.8014 x1  8 La 3.59-3.91, 4 Ca 3.73

Formation energy   68 meV per atom



[3]
Ni2RhW | GGA-PBEsol | relaxed

Cell lengths 2.6637, 3.6214, 5.1880 Å; angles 90.00, 90.00, 90.00 degrees
With the nearest neighbours (Å) after each atom.
Space group Pmm2 (No. 25)
One atom of each set of equivalent atoms:
Ni  0.0000  0.0000  0.0000 x1  2 Rh 2.51-2.68, 6 Ni 2.52-2.66, 4 W 2.60
Ni  0.5000  0.5000  0.2197 x1  1 W 2.44, 6 Ni 2.52-2.66, 4 Rh 2.63
Rh  0.0000  0.0000  0.4829 x1  6 Ni 2.51-2.68, 4 W 2.64, 2 Rh 2.66
W  0.5000  0.5000  0.7500 x1  5 Ni 2.44-2.60, 4 Rh 2.64, 2 W 2.66

Formation energy   -96 meV per atom
Relative energy among the computed polymorphs   0.080 eV/atom



[4]
LiMg14AlO16 | GGA-PBEsol | relaxed

Cell lengths 4.1802, 8.3691, 8.4071 Å; angles 90.00, 90.00, 90.00 degrees
With the nearest neighbours (Å) after each atom.
Space group Pmmm (No. 47)
One atom of each set of equivalent atoms:
Li  0.0000  0.0000  0.0000 x1  6 O 2.09-2.33
Mg  0.0000  0.2476  0.2446 x4  6 O 2.06-2.15
Mg  0.0000  0.5000  0.0000 x1  6 O 2.07-2.14
Mg  0.0000  0.5000  0.5000 x1  6 O 2.06-2.22
Mg  0.5000  0.0000  0.2428 x2  6 O 2.04-2.16
Mg  0.5000  0.2445  0.0000 x2  6 O 2.05-2.14
Mg  0.5000  0.2498  0.5000 x2  6 O 2.09
Mg  0.5000  0.5000  0.2477 x2  6 O 2.08-2.12
Al  0.0000  0.0000  0.5000 x1  6 O 1.87-2.09
O  0.0000  0.0000  0.2770 x2  1 Al 1.87, 2 Mg 2.09
O  0.0000  0.2350  0.5000 x2  1 Al 1.97, 4 Mg 2.09-2.15
O  0.0000  0.2532  0.0000 x2  5 Mg 2.06-2.09, 1 Li 2.12
O  0.0000  0.5000  0.2548 x2  6 Mg 2.06-2.14
O  0.5000  0.0000  0.0000 x1  4 Mg 2.04-2.05, 2 Li 2.09
O  0.5000  0.0000  0.5000 x1  2 Al 2.09, 4 Mg 2.09-2.16
O  0.5000  0.2494  0.2517 x4  6 Mg 2.09-2.12
O  0.5000  0.5000  0.0000 x1  6 Mg 2.08-2.14
O  0.5000  0.5000  0.5000 x1  6 Mg 2.09-2.12

Relative energy among the computed polymorphs   0.000 eV/atom
Uncorrected formation energy   -2.7307 eV/atom



[5]
Li3OsPt | GGA-PBEsol | relaxed

Cell lengths 4.4099, 4.4099, 4.4099 Å; angles 90.00, 90.00, 90.00 degrees
With the nearest neighbours (Å) after each atom.
Space group Pm-3m (No. 221)
One atom of each set of equivalent atoms:
Li  0.0000  0.0000  0.5000 x3  2 Pt 2.20
Os  0.5000  0.5000  0.5000 x1  12 Li 3.12
Pt  0.0000  0.0000  0.0000 x1  6 Li 2.20

Formation energy   1146 meV per atom



[6]
LaSiSe2Br | GGA-PBEsol | relaxed

Cell lengths 5.7057, 5.7057, 5.5470 Å; angles 90.00, 90.00, 90.00 degrees
With the nearest neighbours (Å) after each atom.
Space group P4/mmm (No. 123)
One atom of each set of equivalent atoms:
La  0.0000  0.0000  0.0000 x1  2 Br 2.77, 4 Se 2.85
Si  0.5000  0.5000  0.5000 x1  8 Se 3.98, 4 Br 4.03
Se  0.0000  0.5000  0.0000 x2  2 La 2.85
Br  0.0000  0.0000  0.5000 x1  2 La 2.77

Uncorrected formation energy   -0.1266 eV/atom



[7]
La2InSe | GGA-PBEsol | relaxed

Cell lengths 4.4106, 4.4106, 6.2587 Å; angles 90.00, 90.00, 90.00 degrees
With the nearest neighbours (Å) after each atom.
Space group P4/mmm (No. 123)
One atom of each set of equivalent atoms:
La  0.0000  0.0000  0.0000 x1  4 Se 3.12, 2 In 3.13
La  0.5000  0.5000  0.5000 x1  4 In 3.12, 2 Se 3.13
In  0.0000  0.0000  0.5000 x1  6 La 3.12-3.13
Se  0.5000  0.5000  0.0000 x1  6 La 3.12-3.13

Relative energy among the computed polymorphs   0.050 eV/atom
Uncorrected formation energy   -1.1109 eV/atom



[8]
ReBr2Cl | GGA-PBEsol | relaxed

Cell lengths 4.5680, 14.0256, 3.2561 Å; angles 90.00, 90.00, 90.00 degrees
With the nearest neighbours (Å) after each atom.
Space group Cmmm (No. 65)
One atom of each set of equivalent atoms:
Re  0.0000  0.0000  0.0000 x2  2 Cl 2.28, 4 Br 2.55
Br  0.0000  0.1397  0.5000 x4  2 Re 2.55
Cl  0.0000  0.5000  0.0000 x2  2 Re 2.28

Uncorrected formation energy   -0.0495 eV/atom



[9]
RbZrMn3 | GGA-PBEsol | relaxed

Cell lengths 4.5804, 4.5804, 4.5804 Å; angles 90.00, 90.00, 90.00 degrees
With the nearest neighbours (Å) after each atom.
Space group Pm-3m (No. 221)
One atom of each set of equivalent atoms:
Rb  0.0000  0.0000  0.0000 x1  6 Mn 2.29
Zr  0.5000  0.5000  0.5000 x1  12 Mn 3.24
Mn  0.0000  0.0000  0.5000 x3  2 Rb 2.29

Formation energy   2321 meV per atom



[10]
Ca3LaAg | GGA-PBEsol | relaxed

Cell lengths 5.6915, 5.6915, 5.6915 Å; angles 90.00, 90.00, 90.00 degrees
With the nearest neighbours (Å) after each atom.
Space group Pm-3m (No. 221)
One atom of each set of equivalent atoms:
Ca  0.0000  0.0000  0.5000 x3  2 Ag 2.85
La  0.5000  0.5000  0.5000 x1  12 Ca 4.02
Ag  0.0000  0.0000  0.0000 x1  6 Ca 2.85

Formation energy   102 meV per atom



[11]
Mg5SnB2O10 | GGA-PBEsol | relaxed

Cell lengths 18.7576, 6.1283, 15.5556 Å; angles 90.00, 127.05, 90.00 degrees
With the nearest neighbours (Å) after each atom.
Space group C2/m (No. 12)
One atom of each set of equivalent atoms:
Mg  0.0000  0.2410  0.0000 x4  6 O 2.02-2.18
Mg  0.0000  0.2417  0.5000 x4  6 O 2.02-2.18
Mg  0.0587  0.0000  0.3803 x4  6 O 2.01-2.18
Mg  0.1390  0.2533  0.7816 x8  6 O 1.96-2.17
Mg  0.1433  0.2455  0.2822 x8  5 O 1.96-2.16
Mg  0.1779  0.0000  0.1188 x4  6 O 2.02-2.18
Mg  0.2433  0.0000  0.9981 x4  6 O 2.09-2.19
Mg  0.2454  0.0000  0.5003 x4  6 O 2.09-2.17
Sn  0.0627  0.5000  0.3862 x4  6 O 2.01-2.14
Sn  0.1781  0.5000  0.1161 x4  6 O 2.01-2.16
B  0.0395  0.0000  0.8585 x4  3 O 1.39
B  0.0448  0.5000  0.8609 x4  3 O 1.37-1.40
B  0.1808  0.0000  0.6380 x4  3 O 1.37-1.41
B  0.1839  0.5000  0.6420 x4  3 O 1.38-1.41
O  0.0198  0.2528  0.6428 x8  3 Mg 1.96-2.02, 1 Sn 2.01
O  0.0424  0.5000  0.2351 x4  1 B 1.40
O  0.0468  0.0000  0.2369 x4  1 B 1.39
O  0.0525  0.0000  0.9565 x4  1 B 1.39
O  0.0526  0.5000  0.9561 x4  1 B 1.40
O  0.0959  0.0000  0.5426 x4  1 B 1.37
O  0.0963  0.5000  0.5445 x4  1 B 1.41
O  0.1119  0.0000  0.8550 x4  1 B 1.39
O  0.1171  0.5000  0.8591 x4  1 B 1.37
O  0.1228  0.2532  0.1427 x8  3 Mg 1.96-2.02, 1 Sn 2.01
O  0.1550  0.2577  0.4226 x8  4 Mg 2.06-2.18, 1 Sn 2.08
O  0.1904  0.0000  0.7354 x4  1 B 1.41
O  0.1932  0.5000  0.7371 x4  1 B 1.38
O  0.2324  0.2578  0.0773 x8  4 Mg 2.06-2.18, 1 Sn 2.08
O  0.2426  0.0000  0.3588 x4  1 B 1.39
O  0.2426  0.5000  0.3559 x4  1 B 1.38

Uncorrected formation energy   -2.5525 eV/atom



[12]
Er2Fe6Co6P7 | GGA-PBEsol | relaxed

Cell lengths 8.8436, 8.8436, 3.5514 Å; angles 90.00, 90.00, 120.00 degrees
With the nearest neighbours (Å) after each atom.
Space group P-6 (No. 174)
One atom of each set of equivalent atoms:
Er  0.0000  0.0000  0.0000 x1  6 P 2.79, 6 Fe 2.92, 3 Co 3.01
Er  0.3333  0.6667  0.5000 x1  6 P 2.78, 6 Co 2.87, 3 Fe 3.04
Fe  0.0511  0.7670  0.5000 x3  4 P 2.21-2.27
Fe  0.5433  0.1140  0.5000 x3  5 P 2.23-2.48
Co  0.0983  0.3955  0.0000 x3  4 P 2.19-2.28
Co  0.3923  0.2141  0.0000 x3  4 P 2.11-2.24
P  0.0754  0.6307  0.0000 x3  3 Co 2.15-2.21, 2 Fe 2.22
P  0.2628  0.0432  0.5000 x3  3 Fe 2.21-2.27, 4 Co 2.24-2.28
P  0.6667  0.3333  0.0000 x1  3 Co 2.11

Formation energy   -896 meV per atom



[13]
Ba2AlW | GGA-PBEsol | relaxed

Cell lengths 6.6274, 10.2893, 3.1338 Å; angles 90.00, 90.00, 90.00 degrees
With the nearest neighbours (Å) after each atom.
Space group Cmmm (No. 65)
One atom of each set of equivalent atoms:
Ba  0.2500  0.2500  0.0000 x4  4 Ba 3.13-3.31, 4 W 3.44, 4 Al 3.44
Al  0.0000  0.0000  0.5000 x2  2 Al 3.13, 2 W 3.31, 8 Ba 3.44
W  0.0000  0.5000  0.5000 x2  2 W 3.13, 2 Al 3.31, 8 Ba 3.44

Formation energy   1075 meV per atom



[14]
Gd3Al2Ni6 | GGA-PBEsol | relaxed

Cell lengths 8.8232, 8.8232, 8.8232 Å; angles 90.00, 90.00, 90.00 degrees
With the nearest neighbours (Å) after each atom.
Space group Im-3m (No. 229)
One atom of each set of equivalent atoms:
Gd  0.0000  0.0000  0.2908 x12  8 Ni 2.75-2.99
Al  0.2500  0.2500  0.2500 x8  6 Ni 2.45
Ni  0.0000  0.3363  0.3363 x24  2 Al 2.45, 4 Ni 2.55

Formation energy   -534 meV per atom



[15]
RuPt2Rh | GGA-PBEsol | relaxed

Cell lengths 3.8269, 3.8269, 7.7146 Å; angles 90.00, 90.00, 90.00 degrees
With the nearest neighbours (Å) after each atom.
Space group I-4m2 (No. 119)
One atom of each set of equivalent atoms:
Ru  0.0000  0.0000  0.0000 x2  8 Pt 2.71-2.72, 4 Rh 2.72
Pt  0.0000  0.0000  0.5000 x2  4 Ru 2.71, 4 Rh 2.72, 4 Pt 2.72
Pt  0.0000  0.5000  0.2500 x2  4 Rh 2.71, 4 Ru 2.72, 4 Pt 2.72
Rh  0.0000  0.5000  0.7500 x2  8 Pt 2.71-2.72, 4 Ru 2.72

Formation energy   -11 meV per atom
Relative energy among the computed polymorphs   0.026 eV/atom



[16]
Ce3Ru | GGA-PBEsol | relaxed

Cell lengths 6.7475, 9.4504, 5.9722 Å; angles 90.00, 90.00, 90.00 degrees
With the nearest neighbours (Å) after each atom.
Space group Pnma (No. 62)
One atom of each set of equivalent atoms:
Ce  0.0413  0.2500  0.1213 x4  1 Ru 2.46
Ce  0.1565  0.0529  0.6244 x8  2 Ru 2.75-2.91, 1 Ce 2.77
Ru  0.1406  0.7500  0.4207 x4  3 Ce 2.46-2.75

Formation energy   -126 meV per atom



[17]
KYAl2 | GGA-PBEsol | relaxed

Cell lengths 3.4191, 3.4191, 32.0101 Å; angles 90.00, 90.00, 120.00 degrees
With the nearest neighbours (Å) after each atom.
Space group R-3m (No. 166, hexagonal axes)
One atom of each set of equivalent atoms:
K  0.0000  0.0000  0.0000 x3  6 K 3.42, 6 Al 3.54
Y  0.0000  0.0000  0.5000 x3  6 Al 3.10, 6 Y 3.42
Al  0.0000  0.0000  0.2415 x6  3 Y 3.10, 6 Al 3.42

Formation energy   230 meV per atom



[18]
CdAg2Au | GGA-PBEsol | relaxed

Cell lengths 4.1363, 4.1363, 8.0693 Å; angles 90.00, 90.00, 90.00 degrees
With the nearest neighbours (Å) after each atom.
Space group I-4m2 (No. 119)
One atom of each set of equivalent atoms:
Cd  0.0000  0.0000  0.0000 x2  4 Au 2.89, 8 Ag 2.89-2.92
Ag  0.0000  0.0000  0.5000 x2  4 Au 2.89, 4 Ag 2.89, 4 Cd 2.92
Ag  0.0000  0.5000  0.7500 x2  4 Ag 2.89, 4 Cd 2.89, 4 Au 2.92
Au  0.0000  0.5000  0.2500 x2  4 Cd 2.89, 8 Ag 2.89-2.92

Formation energy   -114 meV per atom



[19]
TlIN2 | GGA-PBEsol | relaxed

Cell lengths 3.3688, 3.3688, 22.1719 Å; angles 90.00, 90.00, 120.00 degrees
With the nearest neighbours (Å) after each atom.
Space group R-3m (No. 166, hexagonal axes)
One atom of each set of equivalent atoms:
Tl  0.0000  0.0000  0.0000 x3  2 N 2.54
I  0.0000  0.0000  0.5000 x3  6 N 2.26
N  0.0000  0.0000  0.1146 x6  3 I 2.26

Uncorrected formation energy   1.4394 eV/atom



[20]
CaY3 | GGA-PBEsol | relaxed

Cell lengths 3.5473, 5.0316, 7.2433 Å; angles 90.00, 90.06, 90.00 degrees
With the nearest neighbours (Å) after each atom.
Space group P2/m (No. 10)
One atom of each set of equivalent atoms:
Ca  0.0000  0.0000  0.0000 x1  2 Ca 3.55, 10 Y 3.62-3.63
Y  0.0000  0.0000  0.5000 x1  10 Y 3.51-3.55, 2 Ca 3.62
Y  0.4998  0.5000  0.2660 x2  7 Y 3.39-3.55, 4 Ca 3.63

Formation energy   99 meV per atom



| no. | electronic total energy (eV per atom) |
| --- | --- |
| 1 | -4.43 |
| 2 | -4.47 |
| 3 | -8.66 |
| 4 | -6.30 |
| 5 | -3.87 |
| 6 | -4.26 |
| 7 | -5.49 |
| 8 | -4.82 |
| 9 | -5.56 |
| 10 | -2.91 |
| 11 | -6.96 |
| 12 | -8.07 |
| 13 | -4.47 |
| 14 | -8.58 |
| 15 | -8.07 |
| 16 | -7.62 |
| 17 | -3.80 |
| 18 | -3.05 |
| 19 | -3.92 |
| 20 | -5.55 |